The following is a DFT calculation (GGA-PBE) of a geometry-optimized GaIrI2O structure.

```
data_GaIrI2O
_space_group_name_H-M_alt 'P 1'
_space_group_IT_number 1
_cell_length_a 5.758
_cell_length_b 5.758
_cell_length_c 3.775
_cell_angle_alpha 90.00
_cell_angle_beta 90.00
_cell_angle_gamma 90.00
loop_
_space_group_symop_operation_xyz
'x,y,z'
loop_
_atom_site_label
_atom_site_fract_x
_atom_site_fract_y
_atom_site_fract_z
I1 0.500 0.000 0.000
I2 0.000 0.500 0.000
Ga1 0.500 0.500 0.500
O1 0.000 0.000 0.500
Ir1 0.000 0.000 0.000
```

Results
N(E_F) ... 0.513 states/eV/atom
Raw formation energy ... -0.14 eV per atom
Size of the total moment ... 0.0 Bohr magnetons per cell
Distance to the lowest polymorph of the same formula ... 0 meV/atom